Computed, not measured: a relaxed KIrO3 crystal at the GGA-PBEsol level of DFT.

Properties
Theoretical density in g/cm³: 7.8
E_tot in eV for the cell shown: -31.2
Fermi-level density of states in states/eV/atom: 0.886
Uncorrected formation energy in eV/atom: -0.90

Unit cell a=3.9072 b=3.9072 c=3.9072 alpha=90.00 beta=90.00 gamma=90.00
Last column: nearest neighbours and their distance in Å.
Fractional coordinates of all 5 atoms:
O 0.0000 0.5000 0.0000  2 Ir 1.95
O 0.0000 0.0000 0.5000  2 Ir 1.95
O 0.5000 0.0000 0.0000  2 Ir 1.95
Ir 0.0000 0.0000 0.0000  6 O 1.95
K 0.5000 0.5000 0.5000  12 O 2.76



Computed, not measured: a relaxed K2Sm2IrO7 crystal at the GGA-PBEsol level of DFT.

Properties
Theoretical density in g/cm³: 6.6
E_tot in eV for the cell shown: -168.5
Fermi-level density of states in states/eV/atom: 0.187
Uncorrected formation energy in eV/atom: -2.10

Unit cell a=5.6218 b=5.6218 c=12.8954 alpha=77.41 beta=77.41 gamma=60.00
Last column: nearest neighbours and their distance in Å.
Fractional coordinates of all 24 atoms:
K 0.0868 0.0868 0.7397  6 O 2.62-2.77
K 0.5868 0.5868 0.2397  6 O 2.62-2.77
K 0.9132 0.9132 0.2603  6 O 2.62-2.77
K 0.4132 0.4132 0.7603  6 O 2.62-2.77
Ir 0.0000 0.0000 0.0000  6 O 1.94
Ir 0.5000 0.5000 0.5000  6 O 1.94
Sm 0.3095 0.3095 0.0714  4 O 2.23-2.33
Sm 0.1905 0.1905 0.4286  4 O 2.23-2.33
Sm 0.6905 0.6905 0.9286  4 O 2.23-2.33
Sm 0.8095 0.8095 0.5714  4 O 2.23-2.33
O 0.1041 0.7028 0.9182  1 Ir 1.94
O 0.7750 0.2028 0.4182  1 Ir 1.94
O 0.7500 0.7500 0.7500  2 Sm 2.23
O 0.2500 0.2500 0.2500  2 Sm 2.23
O 0.7250 0.8959 0.0818  1 Ir 1.94
O 0.7972 0.3959 0.5818  1 Ir 1.94
O 0.7028 0.2750 0.9182  1 Ir 1.94
O 0.2750 0.1041 0.9182  1 Ir 1.94
O 0.3959 0.2250 0.5818  1 Ir 1.94
O 0.2972 0.7250 0.0818  1 Ir 1.94
O 0.6041 0.7750 0.4182  1 Ir 1.94
O 0.2250 0.7972 0.5818  1 Ir 1.94
O 0.8959 0.2972 0.0818  1 Ir 1.94
O 0.2028 0.6041 0.4182  1 Ir 1.94



Computed, not measured: a relaxed K2IrOs crystal at the GGA-PBEsol level of DFT.

Properties
Theoretical density in g/cm³: 9.9
DFT formation energy in meV per atom: 1206.9
E_tot in eV for the cell shown: -19.5
Fermi-level density of states in states/eV/atom: 1.137

Unit cell a=3.7448 b=3.7448 c=5.4911 alpha=90.00 beta=90.00 gamma=90.00
Last column: nearest neighbours and their distance in Å.
Fractional coordinates of all 4 atoms:
K 0.0000 0.5000 0.0000  4 K 2.65
K 0.5000 0.0000 0.0000  4 K 2.65
Ir 0.0000 0.0000 0.5000  4 Os 2.65
Os 0.5000 0.5000 0.5000  4 Ir 2.65